# Cs3CdTe2O9

Cs3CdTe2O9 after structural relaxation (PBE-GGA, the Alexandria database).

Cell: 6.1101 6.1101 7.5404 Å, 90.00 90.00 120.00°
Space group P-3m1 (No. 164)
Asymmetric unit:
Cs (0.0000, 0.0000, 0.0000) [1 per cell]
Cs (0.3333, 0.6667, 0.6587) [2 per cell]
Cd (0.0000, 0.0000, 0.5000) [1 per cell]
Te (0.3333, 0.6667, 0.1652) [2 per cell]
O (0.0000, 0.5000, 0.0000) [3 per cell]
O (0.1815, 0.3630, 0.3046) [6 per cell]

M_tot (μB/f.u.): 1.476
ΔE_f (raw) (eV per atom): -0.986
V (Å³ per cell): 244

=====

# Cs2CdTe2O6

Cs2CdTe2O6 after structural relaxation (PBE-GGA, the Alexandria database).

Cell: 10.1262 6.4696 7.8035 Å, 90.00 111.18 90.00°
Space group C2/m (No. 12)
Asymmetric unit:
Cs (0.2035, 0.0000, 0.1445) [4 per cell]
Cd (0.0000, 0.0000, 0.5000) [2 per cell]
Te (0.0959, 0.5000, 0.2569) [4 per cell]
O (0.0148, 0.2699, 0.7243) [8 per cell]
O (0.2390, 0.0000, 0.5320) [4 per cell]

M_tot (μB/f.u.): 0.000
ΔE_f (raw) (eV per atom): -1.212
V (Å³ per cell): 477